CuReSiMo after structural relaxation, computed with PBE-GGA.

Cell: 6.0006 6.0006 6.0006 Å, 90.00 90.00 90.00°
Atoms (fractional coordinates):
Cu (0.0000, 0.0000, 0.0000)
Cu (0.0000, 0.5000, 0.5000)
Cu (0.5000, 0.0000, 0.5000)
Cu (0.5000, 0.5000, 0.0000)
Re (0.2500, 0.2500, 0.2500)
Re (0.2500, 0.7500, 0.7500)
Re (0.7500, 0.2500, 0.7500)
Re (0.7500, 0.7500, 0.2500)
Si (0.0000, 0.0000, 0.5000)
Si (0.0000, 0.5000, 0.0000)
Si (0.5000, 0.0000, 0.0000)
Si (0.5000, 0.5000, 0.5000)
Mo (0.2500, 0.2500, 0.7500)
Mo (0.2500, 0.7500, 0.2500)
Mo (0.7500, 0.2500, 0.2500)
Mo (0.7500, 0.7500, 0.7500)

Relative energy among the computed polymorphs = 0.051 eV per atom

=====

CuReSnMo after structural relaxation, computed with PBE-GGA.

Cell: 6.3095 6.3095 6.3095 Å, 90.00 90.00 90.00°
Atoms (fractional coordinates):
Cu (0.0000, 0.0000, 0.0000)
Cu (0.0000, 0.5000, 0.5000)
Cu (0.5000, 0.0000, 0.5000)
Cu (0.5000, 0.5000, 0.0000)
Re (0.2500, 0.2500, 0.2500)
Re (0.2500, 0.7500, 0.7500)
Re (0.7500, 0.2500, 0.7500)
Re (0.7500, 0.7500, 0.2500)
Sn (0.0000, 0.0000, 0.5000)
Sn (0.0000, 0.5000, 0.0000)
Sn (0.5000, 0.0000, 0.0000)
Sn (0.5000, 0.5000, 0.5000)
Mo (0.2500, 0.2500, 0.7500)
Mo (0.2500, 0.7500, 0.2500)
Mo (0.7500, 0.2500, 0.2500)
Mo (0.7500, 0.7500, 0.7500)

Relative energy among the computed polymorphs = 0.237 eV per atom

=====

CuReSnMo after structural relaxation, computed with PBE-GGA.

Cell: 6.3322 6.3322 6.3322 Å, 90.00 90.00 90.00°
Atoms (fractional coordinates):
Cu (0.0000, 0.0000, 0.0000)
Cu (0.0000, 0.5000, 0.5000)
Cu (0.5000, 0.0000, 0.5000)
Cu (0.5000, 0.5000, 0.0000)
Re (0.0000, 0.0000, 0.5000)
Re (0.0000, 0.5000, 0.0000)
Re (0.5000, 0.0000, 0.0000)
Re (0.5000, 0.5000, 0.5000)
Sn (0.2500, 0.2500, 0.7500)
Sn (0.2500, 0.7500, 0.2500)
Sn (0.7500, 0.2500, 0.2500)
Sn (0.7500, 0.7500, 0.7500)
Mo (0.2500, 0.2500, 0.2500)
Mo (0.2500, 0.7500, 0.7500)
Mo (0.7500, 0.2500, 0.7500)
Mo (0.7500, 0.7500, 0.2500)

Relative energy among the computed polymorphs = 0.000 eV per atom

=====

ZrCuReMo after structural relaxation, computed with PBE-GGA.

Cell: 6.3698 6.3698 6.3698 Å, 90.00 90.00 90.00°
Atoms (fractional coordinates):
Zr (0.0000, 0.0000, 0.0000)
Zr (0.0000, 0.5000, 0.5000)
Zr (0.5000, 0.0000, 0.5000)
Zr (0.5000, 0.5000, 0.0000)
Cu (0.2500, 0.2500, 0.2500)
Cu (0.2500, 0.7500, 0.7500)
Cu (0.7500, 0.2500, 0.7500)
Cu (0.7500, 0.7500, 0.2500)
Re (0.2500, 0.2500, 0.7500)
Re (0.2500, 0.7500, 0.2500)
Re (0.7500, 0.2500, 0.2500)
Re (0.7500, 0.7500, 0.7500)
Mo (0.0000, 0.0000, 0.5000)
Mo (0.0000, 0.5000, 0.0000)
Mo (0.5000, 0.0000, 0.0000)
Mo (0.5000, 0.5000, 0.5000)

Relative energy among the computed polymorphs = 0.000 eV per atom
ΔE_f = 0.052 eV per atom

=====

ZrCuReMo after structural relaxation, computed with PBE-GGA.

Cell: 6.3379 6.3379 6.3379 Å, 90.00 90.00 90.00°
Atoms (fractional coordinates):
Zr (0.0000, 0.0000, 0.0000)
Zr (0.0000, 0.5000, 0.5000)
Zr (0.5000, 0.0000, 0.5000)
Zr (0.5000, 0.5000, 0.0000)
Cu (0.2500, 0.2500, 0.2500)
Cu (0.2500, 0.7500, 0.7500)
Cu (0.7500, 0.2500, 0.7500)
Cu (0.7500, 0.7500, 0.2500)
Re (0.0000, 0.0000, 0.5000)
Re (0.0000, 0.5000, 0.0000)
Re (0.5000, 0.0000, 0.0000)
Re (0.5000, 0.5000, 0.5000)
Mo (0.2500, 0.2500, 0.7500)
Mo (0.2500, 0.7500, 0.2500)
Mo (0.7500, 0.2500, 0.2500)
Mo (0.7500, 0.7500, 0.7500)

Relative energy among the computed polymorphs = 0.040 eV per atom
ΔE_f = 0.092 eV per atom

=====

CuMoS2 after structural relaxation, computed with PBE-GGA.

Cell: 5.3527 5.3527 10.4557 Å, 90.00 90.00 90.00°
Atoms (fractional coordinates):
Cu (0.0000, 0.0000, 0.0000)
Cu (0.0000, 0.5000, 0.2500)
Cu (0.5000, 0.0000, 0.7500)
Cu (0.5000, 0.5000, 0.5000)
Mo (0.0000, 0.0000, 0.5000)
Mo (0.0000, 0.5000, 0.7500)
Mo (0.5000, 0.0000, 0.2500)
Mo (0.5000, 0.5000, 0.0000)
S (0.2479, 0.7500, 0.1250)
S (0.2500, 0.2479, 0.8750)
S (0.2500, 0.2521, 0.3750)
S (0.2521, 0.7500, 0.6250)
S (0.7479, 0.2500, 0.6250)
S (0.7500, 0.7479, 0.3750)
S (0.7500, 0.7521, 0.8750)
S (0.7521, 0.2500, 0.1250)

Relative energy among the computed polymorphs = 0.128 eV per atom

=====

CuMo3S5 after structural relaxation, computed with PBE-GGA.

Cell: 5.5098 5.5098 6.8537 Å, 90.00 90.00 120.00°
Atoms (fractional coordinates):
Cu (0.0000, 0.0000, 0.0000)
Mo (0.0000, 0.5000, 0.5000)
Mo (0.5000, 0.0000, 0.5000)
Mo (0.5000, 0.5000, 0.5000)
S (0.0000, 0.0000, 0.5000)
S (0.3333, 0.6667, 0.2313)
S (0.3333, 0.6667, 0.7687)
S (0.6667, 0.3333, 0.2313)
S (0.6667, 0.3333, 0.7687)

E_tot = -6.24 eV per atom

=====

CuMoS2 after structural relaxation, computed with PBE-GGA.

Cell: 13.1112 3.2720 5.8788 Å, 90.00 90.00 90.00°
Atoms (fractional coordinates):
Cu (0.0683, 0.2500, 0.0813)
Cu (0.4317, 0.7500, 0.5813)
Cu (0.5683, 0.2500, 0.4187)
Cu (0.9317, 0.7500, 0.9187)
Mo (0.1400, 0.7500, 0.4526)
Mo (0.3600, 0.2500, 0.9526)
Mo (0.6400, 0.7500, 0.0474)
Mo (0.8600, 0.2500, 0.5474)
S (0.0420, 0.2500, 0.7023)
S (0.2256, 0.2500, 0.2186)
S (0.2744, 0.7500, 0.7186)
S (0.4580, 0.7500, 0.2023)
S (0.5420, 0.2500, 0.7977)
S (0.7256, 0.2500, 0.2814)
S (0.7744, 0.7500, 0.7814)
S (0.9580, 0.7500, 0.2977)

Relative energy among the computed polymorphs = 0.000 eV per atom